Record 1
Material: Dy3Tm4In
Method: DFT, PBE-GGA
State: optimized geometry

Results
Formation energy from the elements: -0.11 eV per atom

a b c (Å): 11.1038 6.9452 6.1002
angles (deg): 90.00 90.00 90.00
Fractional coordinates of all 16 atoms:
Dy 0.0000 0.1286 0.0000
Dy 0.2408 0.1165 0.3410
Dy 0.2592 0.8835 0.8410
Dy 0.5000 0.8714 0.5000
Dy 0.7408 0.8835 0.8410
Dy 0.7592 0.1165 0.3410
Tm 0.0000 0.3758 0.5329
Tm 0.0000 0.6294 0.0117
Tm 0.2410 0.6243 0.3589
Tm 0.2590 0.3757 0.8589
Tm 0.5000 0.3706 0.5117
Tm 0.5000 0.6242 0.0329
Tm 0.7410 0.3757 0.8589
Tm 0.7590 0.6243 0.3589
In 0.0000 0.8703 0.5192
In 0.5000 0.1297 0.0192

***

Record 2
Material: Dy6TmIn4
Method: DFT, PBE-GGA
State: optimized geometry

Results
Formation energy from the elements: -0.09 eV per atom

a b c (Å): 8.0059 8.0059 8.0059
angles (deg): 122.58 122.58 85.59
Fractional coordinates of all 11 atoms:
Dy 0.0000 0.5000 0.5000
Dy 0.0261 0.0261 0.6234
Dy 0.4027 0.4027 0.3766
Dy 0.5000 0.0000 0.5000
Dy 0.5973 0.9739 0.0000
Dy 0.9739 0.5973 0.0000
Tm 0.5000 0.5000 0.0000
In 0.1000 0.1000 0.3358
In 0.2358 0.9000 0.0000
In 0.7642 0.7642 0.6642
In 0.9000 0.2358 0.0000

***

Record 3
Material: Dy3Tm3In2
Method: DFT, PBE-GGA
State: optimized geometry

Results
Polymorph energy (0 for the lowest one): 0 meV/atom
Formation energy from the elements: -0.26 eV per atom

a b c (Å): 4.8113 4.8132 9.6183
angles (deg): 90.00 90.00 90.00
Fractional coordinates of all 8 atoms:
Dy 0.0000 0.0000 0.0000
Dy 0.0000 0.0000 0.5000
Dy 0.5000 0.5000 0.0000
Tm 0.0000 0.5000 0.2509
Tm 0.0000 0.5000 0.7491
Tm 0.5000 0.5000 0.5000
In 0.5000 0.0000 0.2510
In 0.5000 0.0000 0.7490

***

Record 4
Material: Dy3Tm12In
Method: DFT, PBE-GGA
State: optimized geometry

Results
Formation energy from the elements: -0.04 eV per atom

a b c (Å): 4.8945 4.8945 19.8014
angles (deg): 90.00 90.00 90.00
Fractional coordinates of all 16 atoms:
Dy 0.0000 0.0000 0.0000
Dy 0.0000 0.0000 0.2516
Dy 0.0000 0.0000 0.7484
Tm 0.0000 0.5000 0.1267
Tm 0.0000 0.5000 0.3788
Tm 0.0000 0.5000 0.6212
Tm 0.0000 0.5000 0.8733
Tm 0.5000 0.0000 0.1267
Tm 0.5000 0.0000 0.3788
Tm 0.5000 0.0000 0.6212
Tm 0.5000 0.0000 0.8733
Tm 0.5000 0.5000 0.0000
Tm 0.5000 0.5000 0.2559
Tm 0.5000 0.5000 0.5000
Tm 0.5000 0.5000 0.7441
In 0.0000 0.0000 0.5000

***

Record 5
Material: DyTm4In2
Method: DFT, PBE-GGA
State: optimized geometry

Results
Polymorph energy (0 for the lowest one): 164 meV/atom
Formation energy from the elements: 0.08 eV per atom

a b c (Å): 10.6461 10.6461 10.6461
angles (deg): 27.46 27.46 27.46
Fractional coordinates of all 7 atoms:
Dy 0.0000 0.0000 0.0000
Tm 0.2033 0.2033 0.2033
Tm 0.3912 0.3912 0.3912
Tm 0.6088 0.6088 0.6088
Tm 0.7967 0.7967 0.7967
In 0.1004 0.1004 0.1004
In 0.8996 0.8996 0.8996

***

Record 6
Material: Dy7Tm3In2
Method: DFT, PBE-GGA
State: optimized geometry

Results
Formation energy from the elements: -0.04 eV per atom

a b c (Å): 5.5487 3.5684 18.3490
angles (deg): 90.00 94.00 90.00
Fractional coordinates of all 12 atoms:
Dy 0.0000 0.0000 0.0000
Dy 0.1658 0.5000 0.1745
Dy 0.2589 0.5000 0.5409
Dy 0.3379 0.0000 0.8531
Dy 0.6621 0.0000 0.1469
Dy 0.7411 0.5000 0.4591
Dy 0.8342 0.5000 0.8255
Tm 0.2207 0.0000 0.3669
Tm 0.5000 0.5000 0.0000
Tm 0.7793 0.0000 0.6331
In 0.3010 0.5000 0.7075
In 0.6990 0.5000 0.2925

***

Record 7
Material: Dy4TmIn
Method: DFT, PBE-GGA
State: optimized geometry

Results
Polymorph energy (0 for the lowest one): 18 meV/atom
Formation energy from the elements: -0.13 eV per atom

a b c (Å): 6.6061 6.6061 11.0452
angles (deg): 90.00 90.00 131.84
Fractional coordinates of all 12 atoms:
Dy 0.0014 0.9986 0.5000
Dy 0.1799 0.8201 0.2476
Dy 0.3209 0.6791 0.5293
Dy 0.4799 0.5201 0.2462
Dy 0.5201 0.4799 0.7462
Dy 0.6791 0.3209 0.0293
Dy 0.8201 0.1799 0.7476
Dy 0.9986 0.0014 0.0000
Tm 0.3231 0.6769 0.9662
Tm 0.6769 0.3231 0.4662
In 0.1521 0.8479 0.7512
In 0.8479 0.1521 0.2512

***

Record 8
Material: Dy2TmIn2
Method: DFT, PBE-GGA
State: optimized geometry

Results
Polymorph energy (0 for the lowest one): 0 meV/atom
Formation energy from the elements: -0.37 eV per atom

a b c (Å): 3.7208 5.3129 13.9472
angles (deg): 90.00 97.68 90.00
Fractional coordinates of all 10 atoms:
Dy 0.0471 0.2500 0.0944
Dy 0.2372 0.2500 0.4743
Dy 0.7628 0.7500 0.5257
Dy 0.9529 0.7500 0.9056
Tm 0.1499 0.7500 0.3007
Tm 0.8501 0.2500 0.6993
In 0.3576 0.7500 0.7140
In 0.4480 0.2500 0.8966
In 0.5520 0.7500 0.1034
In 0.6424 0.2500 0.2860

***

Record 9
Material: Dy9Tm2In
Method: DFT, PBE-GGA
State: optimized geometry

Results
Formation energy from the elements: -0.07 eV per atom

a b c (Å): 4.9218 4.9218 15.0023
angles (deg): 90.00 90.00 90.00
Fractional coordinates of all 12 atoms:
Dy 0.0000 0.0000 0.0000
Dy 0.0000 0.0000 0.3294
Dy 0.0000 0.0000 0.6706
Dy 0.0000 0.5000 0.1627
Dy 0.0000 0.5000 0.5000
Dy 0.0000 0.5000 0.8373
Dy 0.5000 0.0000 0.1627
Dy 0.5000 0.0000 0.5000
Dy 0.5000 0.0000 0.8373
Tm 0.5000 0.5000 0.3327
Tm 0.5000 0.5000 0.6673
In 0.5000 0.5000 0.0000

***

Record 10
Material: Dy3TmIn2
Method: DFT, PBE-GGA
State: optimized geometry

Results
Polymorph energy (0 for the lowest one): 466 meV/atom
Formation energy from the elements: 0.11 eV per atom

a b c (Å): 9.8579 9.8579 9.8579
angles (deg): 160.24 146.60 39.11
Fractional coordinates of all 6 atoms:
Dy 0.0000 0.0000 0.0000
Dy 0.3150 0.8150 0.5000
Dy 0.6850 0.1850 0.5000
Tm 0.5000 0.0000 0.5000
In 0.1467 0.6467 0.5000
In 0.8533 0.3533 0.5000

***

Record 11
Material: Dy3Tm2In7
Method: DFT, PBE-GGA
State: optimized geometry

Results
Formation energy from the elements: -0.21 eV per atom

a b c (Å): 15.1783 15.1783 4.6782
angles (deg): 90.00 90.00 161.74
Fractional coordinates of all 12 atoms:
Dy 0.0000 0.0000 0.0000
Dy 0.1476 0.8524 0.0000
Dy 0.8524 0.1476 0.0000
Tm 0.3417 0.6583 0.5000
Tm 0.6583 0.3417 0.5000
In 0.0772 0.9228 0.5000
In 0.2253 0.7747 0.5000
In 0.4218 0.5782 0.0000
In 0.5000 0.5000 0.5000
In 0.5782 0.4218 0.0000
In 0.7747 0.2253 0.5000
In 0.9228 0.0772 0.5000

***

Record 12
Material: Dy7TmIn3
Method: DFT, PBE-GGA
State: optimized geometry

Results
Formation energy from the elements: -0.02 eV per atom

a b c (Å): 8.1468 8.1468 5.7700
angles (deg): 110.02 110.02 91.88
Fractional coordinates of all 11 atoms:
Dy 0.0000 0.0000 0.0000
Dy 0.1082 0.5330 0.3174
Dy 0.3284 0.3284 0.8329
Dy 0.4670 0.8918 0.6826
Dy 0.5330 0.1082 0.3174
Dy 0.6716 0.6716 0.1671
Dy 0.8918 0.4670 0.6826
Tm 0.0000 0.0000 0.5000
In 0.2649 0.7351 0.0000
In 0.5000 0.5000 0.5000
In 0.7351 0.2649 0.0000